# 1
# BaFe2Au

An optimized crystal structure of BaFe2Au (PBE, Alexandria via LeMat-Bulk).

Summary:
Magnetic moment   1.4975 μB per atom

Lattice parameters (Å, degrees): 7.1002 7.1002 7.1002 90.00 90.00 90.00
Fractional coordinates of all 16 atoms:
Ba (0.0000, 0.0000, 0.0000)
Ba (0.0000, 0.5000, 0.5000)
Ba (0.5000, 0.0000, 0.5000)
Ba (0.5000, 0.5000, 0.0000)
Fe (0.0000, 0.0000, 0.5000)
Fe (0.0000, 0.5000, 0.0000)
Fe (0.2500, 0.2500, 0.2500)
Fe (0.2500, 0.7500, 0.7500)
Fe (0.5000, 0.0000, 0.0000)
Fe (0.5000, 0.5000, 0.5000)
Fe (0.7500, 0.2500, 0.7500)
Fe (0.7500, 0.7500, 0.2500)
Au (0.2500, 0.2500, 0.7500)
Au (0.2500, 0.7500, 0.2500)
Au (0.7500, 0.2500, 0.2500)
Au (0.7500, 0.7500, 0.7500)

# 2
# Ba4FeAu

An optimized crystal structure of Ba4FeAu (PBE, Alexandria via LeMat-Bulk).

Summary:
Magnetic moment   0.3839 μB per atom

Lattice parameters (Å, degrees): 7.0608 7.0608 7.0608 60.00 60.00 60.00
Fractional coordinates of all 6 atoms:
Ba (0.1251, 0.1251, 0.1251)
Ba (0.1251, 0.1251, 0.6248)
Ba (0.1251, 0.6248, 0.1251)
Ba (0.6248, 0.1251, 0.1251)
Fe (0.7500, 0.7500, 0.7500)
Au (0.5000, 0.5000, 0.5000)

no.,DOS at the Fermi energy (states/eV per cell),calculated volume (Å³/cell),final energy (eV/atom)
1,17.0,357.9,-4.828
2,7.2,248.9,-2.385